No. 1
First-principles (PBE) data for a relaxed structure of Cs3InSb2, as listed in Alexandria via LeMat-Bulk.

a = 20.8188 Å, b = 5.0904 Å, c = 13.6154 Å
α = 90.00°, β = 115.17°, γ = 90.00°
Closest atoms and distances in Å follow each position.
Space group C2/m (No. 12)
Symmetry-distinct sites (fractional):
Cs1 0.0526 0.0000 0.2433 (multiplicity 4)  3 Sb 3.63-3.65
Cs2 0.1625 0.5000 0.0038 (multiplicity 4)  3 Sb 3.72-4.02
Cs3 0.2184 0.0000 0.6070 (multiplicity 4)  3 Sb 3.65-3.68
In1 0.0686 0.5000 0.6514 (multiplicity 4)  4 Sb 2.94-3.10
Sb1 0.0877 0.5000 0.4497 (multiplicity 4)  2 In 2.94-2.95
Sb2 0.1307 0.0000 0.7892 (multiplicity 4)  2 In 3.10

Final energy ... -0.0943 Ha/atom
M_tot ... 0.00 μB/atom
Formation energy without anion corrections ... -0.31 eV/atom

No. 2
First-principles (PBE) data for a relaxed structure of CsIn3Sb, as listed in Alexandria via LeMat-Bulk.

a = 6.0957 Å, b = 6.0957 Å, c = 6.0957 Å
α = 90.00°, β = 90.00°, γ = 90.00°
Closest atoms and distances in Å follow each position.
Space group Pm-3m (No. 221)
Symmetry-distinct sites (fractional):
Cs1 0.0000 0.0000 0.0000 (multiplicity 1)  12 In 4.31
In1 0.0000 0.5000 0.5000 (multiplicity 3)  2 Sb 3.05
Sb1 0.5000 0.5000 0.5000 (multiplicity 1)  6 In 3.05

Final energy ... -0.0888 Ha/atom
Offset from the most stable computed form ... 408 meV per atom
M_tot ... 0.00 μB/atom
Formation energy without anion corrections ... 0.22 eV/atom

No. 3
First-principles (PBE) data for a relaxed structure of Cs3In2Sb3, as listed in Alexandria via LeMat-Bulk.

a = 4.9591 Å, b = 15.9427 Å, c = 17.1124 Å
α = 90.00°, β = 90.00°, γ = 90.00°
Closest atoms and distances in Å follow each position.
Space group Cmcm (No. 63)
Symmetry-distinct sites (fractional):
Cs1 0.0000 0.0627 0.1105 (multiplicity 8)  6 Sb 3.85-4.31, 2 In 4.01, 1 Cs 4.28
Cs2 0.0000 0.3582 0.2500 (multiplicity 4)  4 Sb 3.54-3.81
In1 0.0000 0.2401 0.5935 (multiplicity 8)  4 Sb 2.96-3.02
Sb1 0.0000 0.3234 0.7500 (multiplicity 4)  2 In 2.99
Sb2 0.0000 0.3537 0.0432 (multiplicity 8)  3 In 2.96-3.02

Final energy ... -0.1074 Ha/atom
M_tot ... 0.00 μB/atom
Formation energy without anion corrections ... -0.37 eV/atom

No. 4
First-principles (PBE) data for a relaxed structure of CsIn4Sb3, as listed in Alexandria via LeMat-Bulk.

a = 5.0943 Å, b = 5.0943 Å, c = 10.8321 Å
α = 90.00°, β = 90.00°, γ = 90.00°
Closest atoms and distances in Å follow each position.
Space group P4/mmm (No. 123)
Symmetry-distinct sites (fractional):
Cs1 0.0000 0.0000 0.0000 (multiplicity 1)  8 Sb 3.95, 8 In 4.30
In1 0.0000 0.5000 0.3196 (multiplicity 4)  4 Sb 3.15-3.21
Sb1 0.0000 0.0000 0.5000 (multiplicity 1)  8 In 3.21
Sb2 0.5000 0.5000 0.1488 (multiplicity 2)  4 In 3.15, 1 Sb 3.22

Final energy ... -0.1149 Ha/atom
M_tot ... 0.00 μB/atom
Formation energy without anion corrections ... -0.10 eV/atom

No. 5
First-principles (PBE) data for a relaxed structure of CsIn3Sb, as listed in Alexandria via LeMat-Bulk.

a = 5.4761 Å, b = 5.4761 Å, c = 11.5656 Å
α = 90.00°, β = 90.00°, γ = 90.00°
Closest atoms and distances in Å follow each position.
Space group I4mm (No. 107)
Symmetry-distinct sites (fractional):
Cs1 0.0000 0.0000 0.0000 (multiplicity 2)  13 In 3.97-4.20, 5 Sb 4.10-4.44
In1 0.0000 0.0000 0.6405 (multiplicity 2)  1 Sb 2.97, 4 In 3.01
In2 0.0000 0.5000 0.2488 (multiplicity 4)  2 In 3.01, 2 Sb 3.15
Sb1 0.0000 0.0000 0.3838 (multiplicity 2)  5 In 2.97-3.15

Final energy ... -0.1038 Ha/atom
Offset from the most stable computed form ... 0 meV per atom
M_tot ... 0.00 μB/atom
Formation energy without anion corrections ... -0.19 eV/atom

No. 6
First-principles (PBE) data for a relaxed structure of Cs3In4Sb4, as listed in Alexandria via LeMat-Bulk.

a = 6.0287 Å, b = 7.9036 Å, c = 17.2797 Å
α = 90.00°, β = 90.00°, γ = 90.00°
Closest atoms and distances in Å follow each position.
Space group Immm (No. 71)
Symmetry-distinct sites (fractional):
Cs1 0.0000 0.0000 0.0000 (multiplicity 2)  6 Sb 3.79-3.92
Cs2 0.0000 0.5000 0.1189 (multiplicity 4)  8 Sb 3.92-4.31, 6 In 3.95-3.96, 1 Cs 4.11
In1 0.0000 0.3042 0.3295 (multiplicity 8)  2 Sb 3.07-3.10, 1 In 3.10
Sb1 0.0000 0.0000 0.2192 (multiplicity 4)  2 In 3.07
Sb2 0.0000 0.1832 0.5000 (multiplicity 4)  1 Sb 2.90, 2 In 3.10

Final energy ... -0.1094 Ha/atom
M_tot ... 0.00 μB/atom
Formation energy without anion corrections ... -0.25 eV/atom

No. 7
First-principles (PBE) data for a relaxed structure of CsInSb4, as listed in Alexandria via LeMat-Bulk.

a = 9.3953 Å, b = 9.3953 Å, c = 9.3953 Å
α = 90.00°, β = 90.00°, γ = 90.00°
Closest atoms and distances in Å follow each position.
Space group F-43m (No. 216)
Symmetry-distinct sites (fractional):
Cs1 0.0000 0.0000 0.0000 (multiplicity 4)  12 Sb 3.93, 4 In 4.07
In1 0.2500 0.2500 0.2500 (multiplicity 4)  12 Sb 3.87, 4 Cs 4.07
Sb1 0.1149 0.1149 0.6149 (multiplicity 16)  3 Sb 3.05

Final energy ... -0.1227 Ha/atom
M_tot ... 0.00 μB/atom
Formation energy without anion corrections ... 0.01 eV/atom

No. 8
First-principles (PBE) data for a relaxed structure of CsIn4Sb2, as listed in Alexandria via LeMat-Bulk.

a = 10.0534 Å, b = 10.0534 Å, c = 4.6652 Å
α = 90.00°, β = 90.00°, γ = 90.00°
Closest atoms and distances in Å follow each position.
Space group P4_2/mnm (No. 136)
Symmetry-distinct sites (fractional):
Cs1 0.0000 0.0000 0.0000 (multiplicity 2)  6 Sb 3.87-3.99, 8 In 4.27
In1 0.0707 0.3489 0.5000 (multiplicity 8)  3 Sb 3.18-3.24, 5 In 3.33-3.35
Sb1 0.2280 0.7720 0.5000 (multiplicity 4)  6 In 3.18-3.24

Final energy ... -0.1098 Ha/atom
M_tot ... 0.00 μB/atom
Formation energy without anion corrections ... -0.12 eV/atom

No. 9
First-principles (PBE) data for a relaxed structure of Cs2In2Sb, as listed in Alexandria via LeMat-Bulk.

a = 8.0493 Å, b = 8.0493 Å, c = 6.4182 Å
α = 90.00°, β = 90.00°, γ = 90.00°
Closest atoms and distances in Å follow each position.
Space group P4/mbm (No. 127)
Symmetry-distinct sites (fractional):
Cs1 0.1901 0.3099 0.0000 (multiplicity 4)  6 In 3.81-4.14, 4 Cs 4.14
In1 0.1287 0.6287 0.5000 (multiplicity 4)  1 In 2.93, 2 Sb 3.16
Sb1 0.0000 0.0000 0.5000 (multiplicity 2)  4 In 3.16

Final energy ... -0.0881 Ha/atom
M_tot ... 0.00 μB/atom
Formation energy without anion corrections ... -0.14 eV/atom

No. 10
First-principles (PBE) data for a relaxed structure of CsInSb, as listed in Alexandria via LeMat-Bulk.

a = 4.1576 Å, b = 4.1576 Å, c = 13.7109 Å
α = 90.00°, β = 90.00°, γ = 90.00°
Closest atoms and distances in Å follow each position.
Space group I4mm (No. 107)
Symmetry-distinct sites (fractional):
Cs1 0.0000 0.0000 0.0000 (multiplicity 2)  5 In 3.92-4.16, 5 Sb 4.01-4.09, 4 Cs 4.16
In1 0.0000 0.0000 0.2857 (multiplicity 2)  4 Sb 3.13
Sb1 0.0000 0.0000 0.7076 (multiplicity 2)  4 In 3.13

Final energy ... -0.1010 Ha/atom
Offset from the most stable computed form ... 185 meV per atom
M_tot ... 0.00 μB/atom
Formation energy without anion corrections ... -0.18 eV/atom

No. 11
First-principles (PBE) data for a relaxed structure of CsInSb, as listed in Alexandria via LeMat-Bulk.

a = 13.0883 Å, b = 6.7760 Å, c = 6.4090 Å
α = 90.00°, β = 119.10°, γ = 90.00°
Closest atoms and distances in Å follow each position.
Space group Cm (No. 8)
Symmetry-distinct sites (fractional):
Cs1 0.0000 0.0000 0.0000 (multiplicity 2)  4 Sb 3.83-3.89, 2 In 3.84
Cs2 0.2488 0.5000 0.2506 (multiplicity 2)  4 Sb 3.90-4.00, 2 In 4.07, 2 Cs 4.30
In1 0.3550 0.0000 0.9645 (multiplicity 2)  2 Sb 3.00, 1 In 3.29
In2 0.4387 0.0000 0.5388 (multiplicity 2)  2 Sb 3.04, 2 In 3.29-3.40
Sb1 0.1364 0.2174 0.6297 (multiplicity 4)  1 Sb 2.95, 2 In 3.00-3.04

Final energy ... -0.1035 Ha/atom
Offset from the most stable computed form ... 114 meV per atom
M_tot ... 0.00 μB/atom
Formation energy without anion corrections ... -0.25 eV/atom

No. 12
First-principles (PBE) data for a relaxed structure of CsInSb, as listed in Alexandria via LeMat-Bulk.

a = 13.8406 Å, b = 4.6871 Å, c = 10.3316 Å
α = 90.00°, β = 129.72°, γ = 90.00°
Closest atoms and distances in Å follow each position.
Space group Cm (No. 8)
Symmetry-distinct sites (fractional):
Cs1 0.0000 0.0000 0.0000 (multiplicity 2)  4 Sb 3.87-3.94, 4 In 3.91-4.07
Cs2 0.0710 0.5000 0.6807 (multiplicity 2)  1 In 3.75, 3 Sb 3.85-3.93
In1 0.2111 0.5000 0.4178 (multiplicity 2)  3 Sb 2.87-2.96, 1 In 3.15
In2 0.4203 0.0000 0.2238 (multiplicity 2)  2 Sb 2.92, 1 In 3.15
Sb1 0.2627 0.0000 0.6125 (multiplicity 2)  2 In 2.87
Sb2 0.2865 0.5000 0.2071 (multiplicity 2)  3 In 2.92-2.96

Final energy ... -0.1055 Ha/atom
Offset from the most stable computed form ... 61 meV per atom
M_tot ... 0.00 μB/atom
Formation energy without anion corrections ... -0.30 eV/atom

No. 13
First-principles (PBE) data for a relaxed structure of CsInSb, as listed in Alexandria via LeMat-Bulk.

a = 4.8005 Å, b = 4.8005 Å, c = 6.5194 Å
α = 90.00°, β = 90.00°, γ = 120.00°
Closest atoms and distances in Å follow each position.
Space group P3m1 (No. 156)
Symmetry-distinct sites (fractional):
Cs1 0.0000 0.0000 0.0000 (multiplicity 1)  3 In 3.92, 3 Sb 3.92
In1 0.3333 0.6667 0.4252 (multiplicity 1)  3 Sb 2.94
Sb1 0.6667 0.3333 0.5738 (multiplicity 1)  3 In 2.94

Final energy ... -0.1040 Ha/atom
Offset from the most stable computed form ... 102 meV per atom
M_tot ... 0.00 μB/atom
Formation energy without anion corrections ... -0.26 eV/atom

No. 14
First-principles (PBE) data for a relaxed structure of Cs5InSb2, as listed in Alexandria via LeMat-Bulk.

a = 6.6266 Å, b = 6.6266 Å, c = 33.3092 Å
α = 90.00°, β = 90.00°, γ = 120.00°
Closest atoms and distances in Å follow each position.
Space group R-3m (No. 166, hexagonal axes)
Symmetry-distinct sites (fractional):
Cs1 0.0000 0.0000 0.0000 (multiplicity 3)  8 Cs 4.23-4.25, 6 Sb 4.57
Cs2 0.0000 0.0000 0.1274 (multiplicity 6)  3 In 4.04, 3 Sb 4.21, 1 Cs 4.25
Cs3 0.0000 0.0000 0.2793 (multiplicity 6)  4 Sb 3.89-4.30, 3 Cs 4.23
In1 0.0000 0.0000 0.5000 (multiplicity 3)  2 Sb 3.06
Sb1 0.0000 0.0000 0.4083 (multiplicity 6)  1 In 3.06

Final energy ... -0.0790 Ha/atom
M_tot ... 0.16 μB/atom
Formation energy without anion corrections ... -0.24 eV/atom

No. 15
First-principles (PBE) data for a relaxed structure of CsIn3Sb2, as listed in Alexandria via LeMat-Bulk.

a = 7.3866 Å, b = 7.3866 Å, c = 4.5354 Å
α = 90.00°, β = 90.00°, γ = 120.00°
Closest atoms and distances in Å follow each position.
Space group P6/mmm (No. 191)
Symmetry-distinct sites (fractional):
Cs1 0.0000 0.0000 0.0000 (multiplicity 1)  6 Sb 4.26, 12 In 4.33, 2 Cs 4.54
In1 0.0000 0.5000 0.5000 (multiplicity 3)  4 Sb 3.11
Sb1 0.3333 0.6667 0.0000 (multiplicity 2)  6 In 3.11

Final energy ... -0.1079 Ha/atom
M_tot ... 0.00 μB/atom
Formation energy without anion corrections ... -0.05 eV/atom

No. 16
First-principles (PBE) data for a relaxed structure of CsInSb, as listed in Alexandria via LeMat-Bulk.

a = 7.5757 Å, b = 5.2256 Å, c = 7.5816 Å
α = 90.00°, β = 115.28°, γ = 90.00°
Closest atoms and distances in Å follow each position.
Space group Pm (No. 6)
Symmetry-distinct sites (fractional):
Cs1 0.0000 0.0000 0.0000 (multiplicity 1)  4 Sb 3.95-3.98, 3 In 4.18-4.23
Cs2 0.3474 0.0000 0.6524 (multiplicity 1)  4 Sb 3.95-3.98, 3 In 4.18-4.24
In1 0.4790 0.5000 0.1325 (multiplicity 1)  2 Sb 3.09, 2 In 3.13
In2 0.6921 0.0000 0.3447 (multiplicity 1)  2 In 3.13, 4 Sb 3.15
Sb1 0.7034 0.5000 0.5824 (multiplicity 1)  1 Sb 2.90, 3 In 3.09-3.15
Sb2 0.9295 0.5000 0.3549 (multiplicity 1)  1 Sb 2.90, 3 In 3.09-3.15

Final energy ... -0.1046 Ha/atom
Offset from the most stable computed form ... 87 meV per atom
M_tot ... 0.00 μB/atom
Formation energy without anion corrections ... -0.27 eV/atom

No. 17
First-principles (PBE) data for a relaxed structure of CsInSb, as listed in Alexandria via LeMat-Bulk.

a = 6.0764 Å, b = 5.6775 Å, c = 7.9198 Å
α = 90.00°, β = 90.00°, γ = 90.00°
Closest atoms and distances in Å follow each position.
Space group Amm2 (No. 38)
Symmetry-distinct sites (fractional):
Cs1 0.0000 0.0000 0.0000 (multiplicity 2)  2 Sb 3.91, 2 In 3.95
In1 0.5000 0.0000 0.3187 (multiplicity 2)  3 Sb 2.93-3.02
Sb1 0.5000 0.0000 0.6892 (multiplicity 2)  3 In 2.93-3.02

Final energy ... -0.1036 Ha/atom
Offset from the most stable computed form ... 113 meV per atom
M_tot ... 0.00 μB/atom
Formation energy without anion corrections ... -0.25 eV/atom

No. 18
First-principles (PBE) data for a relaxed structure of CsInSb, as listed in Alexandria via LeMat-Bulk.

a = 5.4448 Å, b = 5.4448 Å, c = 8.4539 Å
α = 90.00°, β = 90.00°, γ = 90.00°
Closest atoms and distances in Å follow each position.
Space group P4/nmm (No. 129, origin choice 2)
Symmetry-distinct sites (fractional):
Cs1 0.2500 0.2500 0.1630 (multiplicity 2)  4 In 3.94, 6 Sb 4.09-4.31
In1 0.2500 0.7500 0.5000 (multiplicity 2)  4 Sb 3.09
Sb1 0.2500 0.2500 0.6733 (multiplicity 2)  4 In 3.09

Final energy ... -0.1078 Ha/atom
Offset from the most stable computed form ... 0 meV per atom
M_tot ... 0.00 μB/atom
Formation energy without anion corrections ... -0.36 eV/atom

No. 19
First-principles (PBE) data for a relaxed structure of CsIn3Sb, as listed in Alexandria via LeMat-Bulk.

a = 6.3214 Å, b = 6.3214 Å, c = 6.3214 Å
α = 90.00°, β = 90.00°, γ = 90.00°
Closest atoms and distances in Å follow each position.
Space group Pm-3m (No. 221)
Symmetry-distinct sites (fractional):
Cs1 0.0000 0.0000 0.0000 (multiplicity 1)  6 In 3.16
In1 0.0000 0.0000 0.5000 (multiplicity 3)  2 Cs 3.16
Sb1 0.5000 0.5000 0.5000 (multiplicity 1)  12 In 4.47

Final energy ... -0.0567 Ha/atom
Offset from the most stable computed form ... 1282 meV per atom
M_tot ... 0.00 μB/atom
Formation energy without anion corrections ... 1.10 eV/atom

No. 20
First-principles (PBE) data for a relaxed structure of Cs2In2Sb2Se, as listed in Alexandria via LeMat-Bulk.

a = 4.7126 Å, b = 7.4167 Å, c = 9.1635 Å
α = 106.26°, β = 104.89°, γ = 90.13°
Closest atoms and distances in Å follow each position.
Space group P-1 (No. 2)
Symmetry-distinct sites (fractional):
Cs1 0.1251 0.3044 0.2475 (multiplicity 2)  2 Se 3.55
In1 0.4004 0.2224 0.8020 (multiplicity 2)  1 Se 2.73
Sb1 0.2234 0.8687 0.4459 (multiplicity 2)  2 Sb 3.02-3.04, 2 In 3.16
Se1 0.5000 0.0000 0.0000 (multiplicity 1)  2 In 2.73

Final energy ... -0.1150 Ha/atom
M_tot ... 0.00 μB/atom
Formation energy without anion corrections ... -0.43 eV/atom